# 1
VASP calculation (PBEsol) on CuB2O after structural relaxation.

a b c (Å): 4.427 4.427 7.022
angles (deg): 90.00 90.00 90.00
Space group I-42d (No. 122)
One atom of each set of equivalent atoms:
Cu1 0.000 0.000 0.000
B1 0.184 0.750 0.625
O1 0.000 0.000 0.500

Calculated values
For the total magnetic moment, the calculation gives 0.00 μB per formula unit. The calculation puts the theoretical density at 4.9 Mg/m³. The calculated total energy is -5.63 eV per atom. For the energy relative to the elements, uncorrected, the calculation gives 26.2 kJ/mol of atoms. For the calculated volume, the calculation gives 8.6 Å³/atom.

***

# 2
VASP calculation (PBEsol) on CuB4O7 after structural relaxation.

a b c (Å): 10.798 6.470 5.110
angles (deg): 90.00 90.00 90.00
Space group Cmcm (No. 63)
One atom of each set of equivalent atoms:
Cu1 0.000 0.220 0.250
B1 0.114 0.315 0.750
B2 0.203 0.000 0.000
O1 0.000 0.427 0.750
O2 0.127 0.184 0.520
O3 0.221 0.478 0.750

Calculated values
For the total magnetic moment, the calculation gives 1.00 μB per formula unit. The calculation puts the theoretical density at 4.1 Mg/m³. The calculated total energy is -7.88 eV per atom. For the energy relative to the elements, uncorrected, the calculation gives -204.3 kJ/mol of atoms. For the calculated volume, the calculation gives 7.4 Å³/atom.

***

# 3
VASP calculation (PBEsol) on CuB2O4 after structural relaxation.

a b c (Å): 11.486 11.486 5.619
angles (deg): 90.00 90.00 90.00
Space group I-42d (No. 122)
One atom of each set of equivalent atoms:
Cu1 0.000 0.000 0.000
Cu2 0.082 0.250 0.625
B1 0.001 0.750 0.125
B2 0.147 0.685 0.447
O1 0.070 0.658 0.244
O2 0.074 0.188 0.299
O3 0.083 0.750 0.625
O4 0.247 0.250 0.625

Calculated values
For the total magnetic moment, the calculation gives 1.00 μB per formula unit. The calculation puts the theoretical density at 4.0 Mg/m³. The calculated total energy is -7.56 eV per atom. For the energy relative to the elements, uncorrected, the calculation gives -186.6 kJ/mol of atoms. For the calculated volume, the calculation gives 8.8 Å³/atom.

***

# 4
VASP calculation (PBEsol) on CuBPO2 after structural relaxation.

a b c (Å): 3.084 3.084 6.463
angles (deg): 90.00 90.00 90.00
Space group P4/mmm (No. 123)
One atom of each set of equivalent atoms:
Cu1 0.000 0.000 0.000
B1 0.500 0.500 0.500
P1 0.500 0.500 0.000
O1 0.000 0.500 0.500

Calculated values
As for the energy above the lowest structure with this stoichiometry: 0.000 eV per atom. For the total magnetic moment, the calculation gives 0.04 μB per formula unit. The calculation puts the theoretical density at 3.7 Mg/m³. The calculated total energy is -5.65 eV per atom. For the energy relative to the elements, uncorrected, the calculation gives -12.0 kJ/mol of atoms. For the calculated volume, the calculation gives 12.3 Å³/atom.

***

# 5
VASP calculation (PBEsol) on CuBPO2 after structural relaxation.

a b c (Å): 3.491 3.491 4.836
angles (deg): 90.00 90.00 90.00
Space group P4/mmm (No. 123)
One atom of each set of equivalent atoms:
Cu1 0.000 0.000 0.000
B1 0.500 0.500 0.500
P1 0.000 0.000 0.500
O1 0.000 0.500 0.000

Calculated values
As for the energy above the lowest structure with this stoichiometry: 1.016 eV per atom. For the total magnetic moment, the calculation gives 0.00 μB per formula unit. The calculation puts the theoretical density at 3.9 Mg/m³. The calculated total energy is -4.64 eV per atom. For the energy relative to the elements, uncorrected, the calculation gives 86.1 kJ/mol of atoms. For the calculated volume, the calculation gives 11.8 Å³/atom.

***

# 6
VASP calculation (PBEsol) on SrCu2B2O6 after structural relaxation.

a b c (Å): 9.002 9.002 6.610
angles (deg): 90.00 90.00 90.00
Space group I4/mcm (No. 140)
One atom of each set of equivalent atoms:
Sr1 0.000 0.000 0.250
Cu1 0.114 0.386 0.000
B1 0.205 0.295 0.500
O1 0.098 0.402 0.500
O2 0.144 0.173 0.000

Calculated values
For the total magnetic moment, the calculation gives 1.97 μB per formula unit. The calculation puts the theoretical density at 4.1 Mg/m³. The calculated total energy is -6.98 eV per atom. For the energy relative to the elements, uncorrected, the calculation gives -181.7 kJ/mol of atoms. For the calculated volume, the calculation gives 12.2 Å³/atom.

***

Look up the theoretical density of the sixth one.
4.1 Mg/m³